(1)
The following is a DFT calculation (PBE) of crystalline La3Ge2Pd7 at its relaxed geometry.

Unit cell a=4.0748 b=4.3518 c=14.7455 alpha=98.49 beta=90.00 gamma=90.00
Closest atoms and distances in Å follow each position.
Positions (direct):
Pd1 0.0000 0.2085 0.4169  4 La 2.99, 6 Pd 3.04-3.26
Pd2 0.5000 0.1309 0.2618  2 Ge 2.47
Pd3 0.0000 0.7915 0.5831  4 La 2.99, 6 Pd 3.04-3.26
Pd4 0.0000 0.3747 0.7493  2 Ge 2.50
Pd5 0.0000 0.6253 0.2507  2 Ge 2.50
Pd6 0.5000 0.8691 0.7382  2 Ge 2.47
Pd7 0.0000 0.0000 0.0000  2 Ge 2.41
La1 0.5000 0.7002 0.4003  8 Pd 2.97-2.99
La2 0.5000 0.5000 0.0000  4 Pd 2.98
La3 0.5000 0.2998 0.5997  8 Pd 2.97-2.99
Ge1 0.0000 0.0828 0.1656  5 Pd 2.41-2.50
Ge2 0.0000 0.9172 0.8344  5 Pd 2.41-2.50

Computed properties:
Formation energy   -0.657 eV/atom
Fermi-level density of states   0.53 states/eV per atom
Symmetry   Cmmm (65)
Distance to the lowest polymorph of the same formula   125 meV per atom
Magnetic moment   0.00 μB per formula unit


(2)
The following is a DFT calculation (PBE) of crystalline LaGePd3 at its relaxed geometry.

Unit cell a=5.1477 b=5.1477 c=5.1477 alpha=90.00 beta=90.00 gamma=90.00
Closest atoms and distances in Å follow each position.
Positions (direct):
Pd1 0.0000 0.0000 0.5000  2 La 2.57
Pd2 0.5000 0.0000 0.0000  2 La 2.57
Pd3 0.0000 0.5000 0.0000  2 La 2.57
La1 0.0000 0.0000 0.0000  6 Pd 2.57
Ge1 0.5000 0.5000 0.5000  12 Pd 3.64

Computed properties:
Formation energy   0.650 eV/atom
Fermi-level density of states   0.57 states/eV per atom
Symmetry   Pm-3m (221)
Distance to the lowest polymorph of the same formula   1440 meV per atom
Magnetic moment   0.00 μB per formula unit


(3)
The following is a DFT calculation (PBE) of crystalline La3Ge3Pd at its relaxed geometry.

Unit cell a=4.2865 b=4.4032 c=10.0008 alpha=102.72 beta=102.37 gamma=90.00
Closest atoms and distances in Å follow each position.
Positions (direct):
La1 0.3180 0.8180 0.6360  2 Pd 3.11, 5 Ge 3.16-3.29
La2 0.6842 0.1842 0.3684  7 Ge 3.16-3.28
La3 0.9999 0.9999 0.9997  8 Ge 3.30-3.54, 4 Pd 3.32
Ge1 0.8567 0.3567 0.7135  2 Pd 2.59
Ge2 0.5626 0.5626 0.1251  1 Pd 2.46, 2 Ge 2.66
Ge3 0.1453 0.6453 0.2907  2 Ge 2.66
Pd1 0.4333 0.4333 0.8666  3 Ge 2.46-2.59

Computed properties:
Formation energy   -0.866 eV/atom
Fermi-level density of states   0.66 states/eV per atom
Symmetry   Imm2 (44)
Magnetic moment   0.44 μB per formula unit


(4)
The following is a DFT calculation (PBE) of crystalline La5Ge2Pd2 at its relaxed geometry.

Unit cell a=8.0037 b=8.0519 c=8.7585 alpha=90.00 beta=62.81 gamma=90.00
Closest atoms and distances in Å follow each position.
Positions (direct):
La1 0.5000 0.5000 0.0000  2 Pd 3.12, 4 Ge 3.18-3.19
La2 0.4669 0.1667 0.7189  3 Pd 3.08-3.16, 3 Ge 3.21-3.25
La3 0.3142 0.6667 0.7189  3 Pd 3.08-3.16, 3 Ge 3.21-3.25
La4 0.1858 0.1667 0.2811  3 Pd 3.08-3.16, 3 Ge 3.21-3.25
La5 0.8142 0.8333 0.7189  3 Pd 3.08-3.16, 3 Ge 3.21-3.25
La6 0.0331 0.6667 0.2811  3 Pd 3.08-3.16, 3 Ge 3.21-3.25
La7 0.6858 0.3333 0.2811  3 Pd 3.08-3.16, 3 Ge 3.21-3.25
La8 0.5331 0.8333 0.2811  3 Pd 3.08-3.16, 3 Ge 3.21-3.25
La9 0.9669 0.3333 0.7189  3 Pd 3.08-3.16, 3 Ge 3.21-3.25
La10 0.0000 0.0000 0.0000  2 Pd 3.12, 4 Ge 3.18-3.19
Pd1 0.2996 0.5000 0.4008  7 La 3.08-3.16
Pd2 0.7004 0.5000 0.5992  7 La 3.08-3.16
Pd3 0.2004 0.0000 0.5992  7 La 3.08-3.16
Pd4 0.7996 0.0000 0.4008  7 La 3.08-3.16
Ge1 0.1227 0.3771 0.0000  1 Ge 2.79
Ge2 0.8773 0.6229 0.0000  1 Ge 2.79
Ge3 0.6227 0.1229 0.0000  1 Ge 2.79
Ge4 0.3773 0.8771 0.0000  1 Ge 2.79

Computed properties:
Formation energy   -0.732 eV/atom
Fermi-level density of states   1.13 states/eV per atom
Symmetry   Cmce (64)
Magnetic moment   0.00 μB per formula unit


(5)
The following is a DFT calculation (PBE) of crystalline LaGe2Pd4 at its relaxed geometry.

Unit cell a=4.3733 b=4.3733 c=8.3205 alpha=74.76 beta=74.76 gamma=60.00
Closest atoms and distances in Å follow each position.
Positions (direct):
Ge1 0.7540 0.7540 0.7380  7 Pd 2.52-2.82
Ge2 0.2460 0.2460 0.2620  7 Pd 2.52-2.82
Pd1 0.4254 0.4254 0.7239  3 Ge 2.53, 3 Pd 2.77
Pd2 0.1401 0.1401 0.5797  4 Ge 2.52-2.82, 3 Pd 2.77
Pd3 0.5746 0.5746 0.2761  3 Ge 2.53, 3 Pd 2.77
Pd4 0.8599 0.8599 0.4203  4 Ge 2.52-2.82, 3 Pd 2.77
La1 0.0000 0.0000 0.0000  6 Ge 3.27, 8 Pd 3.33-3.34

Computed properties:
Formation energy   -0.656 eV/atom
Fermi-level density of states   0.58 states/eV per atom
Symmetry   R-3m (166)
Distance to the lowest polymorph of the same formula   26 meV per atom
Magnetic moment   0.00 μB per formula unit


(6)
The following is a DFT calculation (PBE) of crystalline La6Ge3Pd at its relaxed geometry.

Unit cell a=4.2837 b=11.1987 c=13.4718 alpha=111.65 beta=90.00 gamma=90.00
Closest atoms and distances in Å follow each position.
Positions (direct):
La1 0.2500 0.8941 0.5659  2 Pd 3.06, 2 Ge 3.09
La2 0.2500 0.2490 0.6673  3 Ge 3.03-3.15, 2 Pd 3.03
La3 0.2500 0.5149 0.3705  3 Ge 2.98-3.13
La4 0.7500 0.8375 0.1131  2 Pd 3.15, 5 Ge 3.21-3.34, 1 La 3.44
La5 0.7500 0.8469 0.7847  1 Pd 3.16, 4 Ge 3.17-3.39
La6 0.7500 0.7510 0.3327  3 Ge 3.03-3.15, 2 Pd 3.03
La7 0.7500 0.4194 0.0917  3 Ge 3.08-3.11
La8 0.7500 0.1059 0.4341  2 Pd 3.06, 2 Ge 3.09
La9 0.2500 0.1531 0.2153  1 Pd 3.16, 4 Ge 3.17-3.39
La10 0.2500 0.1625 0.8869  2 Pd 3.15, 5 Ge 3.21-3.34, 1 La 3.44
La11 0.2500 0.5806 0.9083  3 Ge 3.08-3.11
La12 0.7500 0.4851 0.6295  3 Ge 2.98-3.13
Ge1 0.7500 0.6831 0.5304  7 La 2.98-3.24
Ge2 0.2500 0.9161 0.9705  2 Ge 2.77
Ge3 0.7500 0.3688 0.8486  7 La 3.08-3.33, 1 Pd 3.13
Ge4 0.2500 0.6312 0.1514  7 La 3.08-3.33, 1 Pd 3.13
Ge5 0.2500 0.3169 0.4696  7 La 2.98-3.24
Ge6 0.7500 0.0839 0.0295  2 Ge 2.77
Pd1 0.7500 0.0769 0.7024  7 La 3.03-3.16, 1 Ge 3.13
Pd2 0.2500 0.9231 0.2976  7 La 3.03-3.16, 1 Ge 3.13

Computed properties:
Formation energy   -0.621 eV/atom
Fermi-level density of states   1.04 states/eV per atom
Symmetry   P2_1/m (11)
Magnetic moment   0.00 μB per formula unit


(7)
The following is a DFT calculation (PBE) of crystalline LaGe3Pd2 at its relaxed geometry.

Unit cell a=6.2025 b=6.3768 c=6.3768 alpha=98.75 beta=90.00 gamma=90.00
Closest atoms and distances in Å follow each position.
Positions (direct):
Pd1 0.0000 0.1739 0.1739  4 Ge 2.45-2.51
Pd2 0.5000 0.8261 0.8261  4 Ge 2.45-2.51
Pd3 0.0000 0.8261 0.8261  4 Ge 2.45-2.51
Pd4 0.5000 0.1739 0.1739  4 Ge 2.45-2.51
La1 0.7500 0.3056 0.6944  10 Ge 3.33-3.49, 8 Pd 3.64
La2 0.2500 0.6944 0.3056  10 Ge 3.33-3.49, 8 Pd 3.64
Ge1 0.2500 0.5261 0.7758  2 Pd 2.45, 2 Ge 2.51-2.60
Ge2 0.2500 0.2242 0.4739  2 Pd 2.45, 2 Ge 2.51-2.60
Ge3 0.7500 0.7758 0.5261  2 Pd 2.45, 2 Ge 2.51-2.60
Ge4 0.2500 0.1398 0.8602  4 Pd 2.51, 2 Ge 2.60
Ge5 0.7500 0.8602 0.1398  4 Pd 2.51, 2 Ge 2.60
Ge6 0.7500 0.4739 0.2242  2 Pd 2.45, 2 Ge 2.51-2.60

Computed properties:
Formation energy   -0.598 eV/atom
Fermi-level density of states   0.72 states/eV per atom
Symmetry   Cmcm (63)
Distance to the lowest polymorph of the same formula   84 meV per atom
Magnetic moment   0.00 μB per formula unit


(8)
The following is a DFT calculation (PBE) of crystalline La3Ge2Pd7 at its relaxed geometry.

Unit cell a=4.1869 b=4.1869 c=14.3399 alpha=98.39 beta=98.39 gamma=90.00
Closest atoms and distances in Å follow each position.
Positions (direct):
Ge1 0.8733 0.8733 0.7466  5 Pd 2.50-2.58
Ge2 0.1267 0.1267 0.2534  5 Pd 2.50-2.58
Pd1 0.4220 0.9220 0.8439  2 Ge 2.50
Pd2 0.9220 0.4220 0.8439  2 Ge 2.50
Pd3 0.5780 0.0780 0.1561  2 Ge 2.50
Pd4 0.0780 0.5780 0.1561  2 Ge 2.50
Pd5 0.2185 0.2185 0.4371  1 Ge 2.58
Pd6 0.7815 0.7815 0.5629  1 Ge 2.58
Pd7 0.0000 0.0000 0.0000  4 La 2.96, 8 Pd 3.03
La1 0.3262 0.3262 0.6523  5 Pd 3.02-3.22, 4 Ge 3.24
La2 0.6738 0.6738 0.3477  5 Pd 3.02-3.22, 4 Ge 3.24
La3 0.5000 0.5000 0.0000  12 Pd 2.96-3.03

Computed properties:
Formation energy   -0.782 eV/atom
Fermi-level density of states   0.62 states/eV per atom
Symmetry   I4/mmm (139)
Distance to the lowest polymorph of the same formula   0 meV per atom
Magnetic moment   0.00 μB per formula unit


(9)
The following is a DFT calculation (PBE) of crystalline La3GePd at its relaxed geometry.

Unit cell a=5.5768 b=5.5768 c=5.5768 alpha=90.00 beta=90.00 gamma=90.00
Closest atoms and distances in Å follow each position.
Positions (direct):
La1 0.0000 0.0000 0.5000  2 Pd 2.79
La2 0.5000 0.0000 0.0000  2 Pd 2.79
La3 0.0000 0.5000 0.0000  2 Pd 2.79
Ge1 0.5000 0.5000 0.5000  12 La 3.94
Pd1 0.0000 0.0000 0.0000  6 La 2.79

Computed properties:
Formation energy   -0.205 eV/atom
Fermi-level density of states   1.56 states/eV per atom
Symmetry   Pm-3m (221)
Distance to the lowest polymorph of the same formula   440 meV per atom
Magnetic moment   0.00 μB per formula unit


(10)
The following is a DFT calculation (PBE) of crystalline La3GePd at its relaxed geometry.

Unit cell a=8.7181 b=8.1290 c=8.1290 alpha=95.62 beta=90.00 gamma=90.00
Closest atoms and distances in Å follow each position.
Positions (direct):
La1 0.3271 0.0743 0.4257  2 Pd 2.85, 2 Ge 3.10-3.18
La2 0.4267 0.1852 0.9720  1 Pd 2.97, 2 Ge 3.21-3.23
La3 0.4267 0.5277 0.3146  1 Pd 2.97, 2 Ge 3.21-3.23
La4 0.9267 0.9720 0.1852  1 Pd 2.97, 2 Ge 3.21-3.23
La5 0.5733 0.4723 0.6854  1 Pd 2.97, 2 Ge 3.21-3.23
La6 0.9267 0.3146 0.5277  1 Pd 2.97, 2 Ge 3.21-3.23
La7 0.0733 0.6854 0.4723  1 Pd 2.97, 2 Ge 3.21-3.23
La8 0.6729 0.9257 0.5743  2 Pd 2.85, 2 Ge 3.10-3.18
La9 0.1729 0.5743 0.9257  2 Pd 2.85, 2 Ge 3.10-3.18
La10 0.0733 0.0280 0.8148  1 Pd 2.97, 2 Ge 3.21-3.23
La11 0.8271 0.4257 0.0743  2 Pd 2.85, 2 Ge 3.10-3.18
La12 0.5733 0.8148 0.0280  1 Pd 2.97, 2 Ge 3.21-3.23
Ge1 0.6374 0.2003 0.2994  7 La 3.10-3.32
Ge2 0.3626 0.7997 0.7006  7 La 3.10-3.32
Ge3 0.1374 0.2994 0.2003  7 La 3.10-3.32
Ge4 0.8626 0.7006 0.7997  7 La 3.10-3.32
Pd1 0.7500 0.6375 0.3625  4 La 2.85-2.97
Pd2 0.2500 0.3625 0.6375  4 La 2.85-2.97
Pd3 0.7500 0.1376 0.8624  4 La 2.85-2.97
Pd4 0.2500 0.8624 0.1376  4 La 2.85-2.97

Computed properties:
Formation energy   -0.644 eV/atom
Fermi-level density of states   0.65 states/eV per atom
Symmetry   Cmce (64)
Distance to the lowest polymorph of the same formula   0 meV per atom
Magnetic moment   0.00 μB per formula unit


(11)
The following is a DFT calculation (PBE) of crystalline La4GePd at its relaxed geometry.

Unit cell a=5.2241 b=7.0782 c=10.4689 alpha=90.00 beta=119.33 gamma=90.00
Closest atoms and distances in Å follow each position.
Positions (direct):
La1 0.6373 0.2500 0.8848  1 Pd 2.89, 2 Ge 3.20-3.21
La2 0.3627 0.7500 0.1152  1 Pd 2.89, 2 Ge 3.20-3.21
La3 0.0380 0.9767 0.7830  4 La 3.21-3.43, 3 Ge 3.28-3.39, 1 Pd 3.58
La4 0.9620 0.4767 0.2170  4 La 3.21-3.43, 3 Ge 3.28-3.39, 1 Pd 3.58
La5 0.6850 0.2500 0.4403  2 Pd 2.85-2.87
La6 0.0380 0.5233 0.7830  4 La 3.21-3.43, 3 Ge 3.28-3.39, 1 Pd 3.58
La7 0.3150 0.7500 0.5597  2 Pd 2.85-2.87
La8 0.9620 0.0233 0.2170  4 La 3.21-3.43, 3 Ge 3.28-3.39, 1 Pd 3.58
Ge1 0.6638 0.7500 0.9120  11 La 3.20-3.55
Ge2 0.3362 0.2500 0.0880  11 La 3.20-3.55
Pd1 0.6878 0.7500 0.4320  3 La 2.85-2.89
Pd2 0.3122 0.2500 0.5680  3 La 2.85-2.89

Computed properties:
Formation energy   -0.519 eV/atom
Fermi-level density of states   1.04 states/eV per atom
Symmetry   P2_1/m (11)
Magnetic moment   0.00 μB per formula unit


(12)
The following is a DFT calculation (PBE) of crystalline La4Ge3Pd at its relaxed geometry.

Unit cell a=4.4366 b=4.2729 c=11.4068 alpha=90.00 beta=90.00 gamma=90.00
Closest atoms and distances in Å follow each position.
Positions (direct):
La1 0.5000 0.5000 0.3596  6 Ge 3.16-3.34, 1 Pd 3.24
La2 0.0000 0.5000 0.8643  5 Ge 3.15-3.26, 2 Pd 3.27
La3 0.5000 0.0000 0.6405  7 Ge 3.16-3.33
La4 0.0000 0.0000 0.1344  4 Pd 3.15, 3 Ge 3.27-3.29
Pd1 0.5000 0.5000 0.0753  2 Ge 2.74
Ge1 0.5000 0.0000 0.9243  2 Pd 2.74
Ge2 0.0000 0.5000 0.5783  2 Ge 2.77
Ge3 0.0000 0.0000 0.4232  2 Ge 2.77

Computed properties:
Formation energy   -0.810 eV/atom
Fermi-level density of states   1.11 states/eV per atom
Symmetry   Pmm2 (25)
Magnetic moment   0.43 μB per formula unit